# CrIn3B

CrIn3B after structural relaxation (GGA-PBE, the Alexandria database).

a = 5.1460 Å, b = 5.1460 Å, c = 5.1460 Å
α = 90.00°, β = 90.00°, γ = 90.00°
Space group Pm-3m (No. 221)
Symmetry-distinct sites (fractional):
Cr 0.0000 0.0000 0.0000 (multiplicity 1)
In 0.0000 0.0000 0.5000 (multiplicity 3)
B 0.5000 0.5000 0.5000 (multiplicity 1)

polymorph energy (0 for the lowest one)	46.5	kJ per mole of atoms
DFT formation energy	6.59	eV per formula unit
DFT total energy	-3.5855	eV per atom